Record 1
{"formula": "Cs2HgTeI", "functional": "PBE", "state": "optimized geometry", "dft_energy_ry_per_atom": -0.1639, "e_form_raw_mev_per_atom": -890, "sg": "P4/mmm", "lattice": [[7.413, 0.000, 0.000], [0.000, 7.413, 0.000], [0.000, 0.000, 5.709]], "species": ["Cs", "Hg", "Cs", "Te", "I"], "frac_coords": [[0.500, 0.000, 0.000], [0.000, 0.000, 0.500], [0.000, 0.500, 0.000], [0.000, 0.000, 0.000], [0.500, 0.500, 0.500]]}

---

Record 2
{"formula": "CsHgTeI2", "functional": "PBE", "state": "optimized geometry", "dft_energy_ry_per_atom": -0.1511, "e_form_raw_mev_per_atom": -577, "e_above_lowest_polymorph_kcal_per_mol_atoms": 0.00, "sg": "P4/mmm", "lattice": [[-5.250, -1.493, 3.671], [3.900, -0.863, 5.226], [-0.607, 5.474, 1.357]], "species": ["Hg", "I", "Cs", "Te", "I"], "frac_coords": [[0.000, 0.000, 0.500], [0.000, 0.500, 0.000], [0.500, 0.500, 0.500], [0.000, 0.000, 0.000], [0.500, 0.000, 0.000]]}